FeSi2As: relaxed, PBE.

The total DFT energy (no corrections) is -22.30 eV/f.u. The formation energy from raw total energies comes out at 414 meV/atom. The density of states at the Fermi level comes out at 0.49 states/eV/atom. The calculation puts the offset from the most stable computed form at 421 meV/atom.

The space group is I-4m2 (No. 119) and the conventional cell measures 4.029, 4.029 and 6.785 Å, with angles of 90.00, 90.00 and 90.00 degrees. Symmetry generates all atoms from Fe at (0.000, 0.000, 0.000), Si at (0.000, 0.000, 0.500), Si at (0.000, 0.500, 0.750) and As at (0.000, 0.500, 0.250).